1.
Entry from Alexandria: Sc2OsRh after structural relaxation (PBE-GGA).

Lattice parameters (Å, degrees): 2.945 4.368 5.415 90.00 90.00 90.00
Atoms (fractional coordinates):
Sc: 0.000 0.000 0.000
Sc: 0.500 0.500 0.342
Os: 0.000 0.000 0.501
Rh: 0.500 0.500 0.832

Properties
SG = Pmm2 (25)
Calculated formation energy = -338.5 meV/atom
Raw total energy = -32.6 eV per cell



2.
Entry from Alexandria: Sc2OsRh2 after structural relaxation (PBE-GGA).

Lattice parameters (Å, degrees): 7.985 7.985 7.985 154.95 154.95 35.72
Atoms (fractional coordinates):
Sc: 0.099 0.099 0.000
Sc: 0.901 0.901 0.000
Os: 0.500 0.500 0.000
Rh: 0.250 0.750 0.500
Rh: 0.750 0.250 0.500

Properties
Energy relative to the lowest polymorph listed for this composition = 317 meV per atom
SG = I4/mmm (139)
Calculated formation energy = -106.6 meV/atom
Raw total energy = -39.1 eV per cell



3.
Entry from Alexandria: ScOsRh2 after structural relaxation (PBE-GGA).

Lattice parameters (Å, degrees): 3.979 3.979 3.851 90.00 90.00 90.00
Atoms (fractional coordinates):
Sc: 0.000 0.000 0.000
Os: 0.500 0.500 0.000
Rh: 0.000 0.500 0.500
Rh: 0.500 0.000 0.500

Properties
Energy relative to the lowest polymorph listed for this composition = 36 meV per atom
SG = P4/mmm (123)
Calculated formation energy = -338.8 meV/atom
Raw total energy = -33.6 eV per cell



4.
Entry from Alexandria: ScOsRh2 after structural relaxation (PBE-GGA).

Lattice parameters (Å, degrees): 4.814 4.814 4.801 99.83 99.83 34.19
Atoms (fractional coordinates):
Sc: 0.000 0.000 0.000
Os: 0.500 0.500 0.500
Rh: 0.245 0.245 0.735
Rh: 0.755 0.755 0.265

Properties
Energy relative to the lowest polymorph listed for this composition = 139 meV per atom
SG = C2/m (12)
Calculated formation energy = -236.7 meV/atom
Raw total energy = -33.2 eV per cell



5.
Entry from Alexandria: ScOsRh2 after structural relaxation (PBE-GGA).

Lattice parameters (Å, degrees): 2.813 3.873 5.634 90.00 90.00 90.00
Atoms (fractional coordinates):
Sc: 0.000 0.000 0.000
Os: 0.000 0.000 0.500
Rh: 0.500 0.500 0.265
Rh: 0.500 0.500 0.735

Properties
Energy relative to the lowest polymorph listed for this composition = 77 meV per atom
SG = Pmmm (47)
Calculated formation energy = -298.7 meV/atom
Raw total energy = -33.5 eV per cell



6.
Entry from Alexandria: ScOs2Rh after structural relaxation (PBE-GGA).

Lattice parameters (Å, degrees): 3.815 3.815 4.223 90.00 90.00 90.00
Atoms (fractional coordinates):
Sc: 0.000 0.000 0.000
Os: 0.000 0.500 0.500
Os: 0.500 0.000 0.500
Rh: 0.500 0.500 0.000

Properties
Energy relative to the lowest polymorph listed for this composition = 28 meV per atom
SG = P4/mmm (123)
Calculated formation energy = -138.0 meV/atom
Raw total energy = -36.7 eV per cell



7.
Entry from Alexandria: ScOsRh2 after structural relaxation (PBE-GGA).

Lattice parameters (Å, degrees): 8.973 8.973 8.973 18.23 18.23 18.23
Atoms (fractional coordinates):
Sc: 0.000 0.000 0.000
Os: 0.500 0.500 0.500
Rh: 0.249 0.249 0.249
Rh: 0.751 0.751 0.751

Properties
Energy relative to the lowest polymorph listed for this composition = 342 meV per atom
SG = R-3m (166)
Calculated formation energy = -32.8 meV/atom
Raw total energy = -32.4 eV per cell



8.
Entry from Alexandria: Sc2OsRh after structural relaxation (PBE-GGA).

Lattice parameters (Å, degrees): 5.765 5.765 5.765 104.72 104.72 119.45
Atoms (fractional coordinates):
Sc: 0.119 0.625 0.994
Sc: 0.375 0.369 0.494
Sc: 0.631 0.125 0.006
Sc: 0.875 0.881 0.506
Os: 0.250 0.750 0.500
Os: 0.500 0.500 0.000
Rh: 0.000 0.000 0.000
Rh: 0.750 0.250 0.500

Properties
SG = I-42d (122)
Calculated formation energy = -68.5 meV/atom
Raw total energy = -63.0 eV per cell



9.
Entry from Alexandria: ScOsRh after structural relaxation (PBE-GGA).

Lattice parameters (Å, degrees): 4.298 4.298 4.298 60.00 60.00 60.00
Atoms (fractional coordinates):
Sc: 0.000 0.000 0.000
Os: 0.500 0.500 0.500
Rh: 0.250 0.250 0.250

Properties
Energy relative to the lowest polymorph listed for this composition = 418 meV per atom
SG = F-43m (216)
Calculated formation energy = 182.0 meV/atom
Raw total energy = -24.4 eV per cell



10.
Entry from Alexandria: ScOsRh2 after structural relaxation (PBE-GGA).

Lattice parameters (Å, degrees): 4.768 2.818 4.793 90.00 109.12 90.00
Atoms (fractional coordinates):
Sc: 0.000 0.000 0.000
Os: 0.000 0.500 0.500
Rh: 0.500 0.000 0.500
Rh: 0.500 0.500 0.000

Properties
Energy relative to the lowest polymorph listed for this composition = 95 meV per atom
SG = P2/m (10)
Calculated formation energy = -280.4 meV/atom
Raw total energy = -33.4 eV per cell



11.
Entry from Alexandria: ScOsRh2 after structural relaxation (PBE-GGA).

Lattice parameters (Å, degrees): 2.839 2.839 7.707 90.00 90.00 90.00
Atoms (fractional coordinates):
Sc: 0.000 0.000 0.000
Os: 0.500 0.500 0.278
Rh: 0.000 0.000 0.500
Rh: 0.500 0.500 0.751

Properties
Energy relative to the lowest polymorph listed for this composition = 184 meV per atom
SG = P4mm (99)
Calculated formation energy = -191.5 meV/atom
Raw total energy = -33.0 eV per cell



12.
Entry from Alexandria: ScOsRh2 after structural relaxation (PBE-GGA).

Lattice parameters (Å, degrees): 2.823 2.823 7.741 90.00 90.00 90.00
Atoms (fractional coordinates):
Sc: 0.000 0.000 0.000
Os: 0.000 0.000 0.500
Rh: 0.500 0.500 0.266
Rh: 0.500 0.500 0.734

Properties
Energy relative to the lowest polymorph listed for this composition = 123 meV per atom
SG = P4/mmm (123)
Calculated formation energy = -251.8 meV/atom
Raw total energy = -33.3 eV per cell